Entry 1:
# Tl2SbW, optimized geometry, DFT PBE-GGA
# Total energy = -4.45 eV/atom
# Relative energy among the computed polymorphs = 2.04 eV/f.u.
# E_form (uncorrected) = 1.00 eV/atom
# Calculated volume = 23.58 Å³ per atom
data_Tl2SbW
_chemical_formula_sum 'Tl4 Sb2 W2'
_cell_length_a 4.652
_cell_length_b 4.652
_cell_length_c 8.718
_cell_angle_alpha 90.00
_cell_angle_beta 90.00
_cell_angle_gamma 90.00
_symmetry_space_group_name_H-M 'I -4 m 2'
_symmetry_Int_Tables_number 119
_symmetry_space_group_name_Hall 'I -4 -2'
loop_
_atom_site_label
_atom_site_type_symbol
_atom_site_fract_x
_atom_site_fract_y
_atom_site_fract_z
Tl1 Tl 0.000 0.000 0.000
Tl2 Tl 0.000 0.500 0.250
Sb1 Sb 0.000 0.000 0.500
W1 W 0.000 0.500 0.750



Entry 2:
# NdPa3Te6, optimized geometry, DFT PBE-GGA
# Total energy = -5.75 eV/atom
# E_form (uncorrected) = -0.54 eV/atom
# Calculated volume = 38.53 Å³ per atom
data_NdPa3Te6
_chemical_formula_sum 'Nd2 Pa6 Te12'
_cell_length_a 11.210
_cell_length_b 15.651
_cell_length_c 4.392
_cell_angle_alpha 90.00
_cell_angle_beta 90.00
_cell_angle_gamma 90.00
_symmetry_space_group_name_H-M 'C m m m'
_symmetry_Int_Tables_number 65
_symmetry_space_group_name_Hall '-C 2 2'
loop_
_atom_site_label
_atom_site_type_symbol
_atom_site_fract_x
_atom_site_fract_y
_atom_site_fract_z
Nd1 Nd 0.000 0.000 0.000
Pa1 Pa 0.000 0.500 0.000
Pa2 Pa 0.250 0.250 0.500
Te1 Te 0.000 0.156 0.500
Te2 Te 0.216 0.383 0.000



Entry 3:
# BaY2As, optimized geometry, DFT PBE-GGA
# Energy of formation = -0.47 eV/atom
# Total energy = -5.35 eV/atom
# Calculated volume = 35.57 Å³ per atom
data_BaY2As
_chemical_formula_sum 'Ba1 Y2 As1'
_cell_length_a 4.414
_cell_length_b 4.692
_cell_length_c 7.213
_cell_angle_alpha 90.00
_cell_angle_beta 107.75
_cell_angle_gamma 90.00
_symmetry_space_group_name_H-M 'P 1 m 1'
_symmetry_Int_Tables_number 6
loop_
_symmetry_equiv_pos_as_xyz
'x,y,z'
'x,-y,z'
loop_
_atom_site_label
_atom_site_type_symbol
_atom_site_fract_x
_atom_site_fract_y
_atom_site_fract_z
Ba1 Ba 0.000 0.000 0.000
Y1 Y 0.281 0.000 0.559
Y2 Y 0.732 0.500 0.461
As1 As 0.394 0.500 0.786



Entry 4:
# DyInSb, optimized geometry, DFT PBE-GGA
# Total energy = -4.28 eV/atom
# E_form (uncorrected) = -0.46 eV/atom
# Calculated volume = 29.86 Å³ per atom
data_DyInSb
_chemical_formula_sum 'Dy4 In4 Sb4'
_cell_length_a 8.223
_cell_length_b 5.518
_cell_length_c 8.844
_cell_angle_alpha 90.00
_cell_angle_beta 116.74
_cell_angle_gamma 90.00
_symmetry_space_group_name_H-M 'C 1 2/m 1'
_symmetry_Int_Tables_number 12
loop_
_symmetry_equiv_pos_as_xyz
'x,y,z'
'-x,-y,-z'
'-x,y,-z'
'x,-y,z'
'x+1/2,y+1/2,z'
'-x+1/2,-y+1/2,-z'
'-x+1/2,y+1/2,-z'
'x+1/2,-y+1/2,z'
loop_
_atom_site_label
_atom_site_type_symbol
_atom_site_fract_x
_atom_site_fract_y
_atom_site_fract_z
Dy1 Dy 0.139 0.000 0.249
In1 In 0.196 0.500 0.042
Sb1 Sb 0.059 0.500 0.358



Entry 5:
# CsIr3Se, optimized geometry, DFT PBE-GGA
# Total energy = -2.98 eV/atom
# Relative energy among the computed polymorphs = 9.56 eV/f.u.
# E_form (uncorrected) = 3.20 eV/atom
# Calculated volume = 25.24 Å³ per atom
data_CsIr3Se
_chemical_formula_sum 'Cs1 Ir3 Se1'
_cell_length_a 5.016
_cell_length_b 5.016
_cell_length_c 5.016
_cell_angle_alpha 90.00
_cell_angle_beta 90.00
_cell_angle_gamma 90.00
_symmetry_space_group_name_H-M 'P m -3 m'
_symmetry_Int_Tables_number 221
_symmetry_space_group_name_Hall '-P 4 2 3'
loop_
_atom_site_label
_atom_site_type_symbol
_atom_site_fract_x
_atom_site_fract_y
_atom_site_fract_z
Cs1 Cs 0.000 0.000 0.000
Ir1 Ir 0.000 0.000 0.500
Se1 Se 0.500 0.500 0.500



Entry 6:
# MgCrIr, optimized geometry, DFT PBE-GGA
# Energy of formation = -0.10 eV/atom
# Total energy = -6.79 eV/atom
# Relative energy among the computed polymorphs = 0.00 eV/f.u.
# Calculated volume = 15.75 Å³ per atom
data_MgCrIr
_chemical_formula_sum 'Mg4 Cr4 Ir4'
_cell_length_a 2.817
_cell_length_b 2.817
_cell_length_c 23.818
_cell_angle_alpha 90.00
_cell_angle_beta 90.00
_cell_angle_gamma 90.00
_symmetry_space_group_name_H-M 'I 4/m m m'
_symmetry_Int_Tables_number 139
_symmetry_space_group_name_Hall '-I 4 2'
loop_
_atom_site_label
_atom_site_type_symbol
_atom_site_fract_x
_atom_site_fract_y
_atom_site_fract_z
Mg1 Mg 0.000 0.000 0.067
Cr1 Cr 0.000 0.000 0.214
Ir1 Ir 0.000 0.000 0.352



Entry 7:
# Pm2Mg15Tl2, optimized geometry, DFT PBE-GGA
# Energy of formation = -0.06 eV/atom
# Total energy = -2.07 eV/atom
# Calculated volume = 24.53 Å³ per atom
data_Pm2Mg15Tl2
_chemical_formula_sum 'Pm6 Mg45 Tl6'
_cell_length_a 10.3187
_cell_length_b 10.3187
_cell_length_c 15.1605
_cell_angle_alpha 90.00
_cell_angle_beta 90.00
_cell_angle_gamma 120.00
_symmetry_space_group_name_H-M 'R -3 m'
_symmetry_Int_Tables_number 166
_symmetry_space_group_name_Hall '-R 3 2"'
loop_
_atom_site_label
_atom_site_type_symbol
_atom_site_fract_x
_atom_site_fract_y
_atom_site_fract_z
Pm1 Pm 0.0000 0.0000 0.1729
Mg1 Mg 0.0000 0.3112 0.5000
Mg2 Mg 0.0000 0.5000 0.0000
Mg3 Mg 0.0123 0.5062 0.6550
Tl1 Tl 0.0000 0.0000 0.3968



Entry 8:
# LiNF2, optimized geometry, DFT PBE-GGA
# Total energy = -4.34 eV/atom
# Relative energy among the computed polymorphs = 0.00 eV/f.u.
# E_form (uncorrected) = -0.84 eV/atom
# Calculated volume = 14.35 Å³ per atom
data_LiNF2
_chemical_formula_sum 'Li2 N2 F4'
_cell_length_a 5.553
_cell_length_b 3.195
_cell_length_c 6.487
_cell_angle_alpha 90.00
_cell_angle_beta 93.79
_cell_angle_gamma 90.00
_symmetry_space_group_name_H-M 'C 1 m 1'
_symmetry_Int_Tables_number 8
loop_
_symmetry_equiv_pos_as_xyz
'x,y,z'
'x,-y,z'
'x+1/2,y+1/2,z'
'x+1/2,-y+1/2,z'
loop_
_atom_site_label
_atom_site_type_symbol
_atom_site_fract_x
_atom_site_fract_y
_atom_site_fract_z
Li1 Li 0.000 0.000 0.000
N1 N 0.322 0.000 0.599
F1 F 0.168 0.500 0.006
F2 F 0.405 0.000 0.410



Entry 9:
# PrSnAu5, optimized geometry, DFT PBE-GGA
# Energy of formation = -0.42 eV/atom
# Total energy = -4.01 eV/atom
# Calculated volume = 21.38 Å³ per atom
data_PrSnAu5
_chemical_formula_sum 'Pr4 Sn4 Au20'
_cell_length_a 9.220
_cell_length_b 5.734
_cell_length_c 11.325
_cell_angle_alpha 90.00
_cell_angle_beta 90.00
_cell_angle_gamma 90.00
_symmetry_space_group_name_H-M 'P n m a'
_symmetry_Int_Tables_number 62
loop_
_symmetry_equiv_pos_as_xyz
'x,y,z'
'-x,-y,-z'
'-x+1/2,-y,z+1/2'
'x+1/2,y,-z+1/2'
'x+1/2,-y+1/2,-z+1/2'
'-x+1/2,y+1/2,z+1/2'
'-x,y+1/2,-z'
'x,-y+1/2,z'
loop_
_atom_site_label
_atom_site_type_symbol
_atom_site_fract_x
_atom_site_fract_y
_atom_site_fract_z
Pr1 Pr 0.247 0.250 0.056
Sn1 Sn 0.151 0.250 0.346
Au1 Au 0.068 0.507 0.800
Au2 Au 0.075 0.250 0.573
Au3 Au 0.091 0.750 0.021
Au4 Au 0.176 0.750 0.275



Entry 10:
# BaTl2In, optimized geometry, DFT PBE-GGA
# Energy of formation = -0.25 eV/atom
# Total energy = -2.60 eV/atom
# Calculated volume = 33.19 Å³ per atom
data_BaTl2In
_chemical_formula_sum 'Ba2 Tl4 In2'
_cell_length_a 5.662
_cell_length_b 5.662
_cell_length_c 8.283
_cell_angle_alpha 90.00
_cell_angle_beta 90.00
_cell_angle_gamma 90.00
_symmetry_space_group_name_H-M 'I -4 m 2'
_symmetry_Int_Tables_number 119
_symmetry_space_group_name_Hall 'I -4 -2'
loop_
_atom_site_label
_atom_site_type_symbol
_atom_site_fract_x
_atom_site_fract_y
_atom_site_fract_z
Ba1 Ba 0.000 0.000 0.000
Tl1 Tl 0.000 0.000 0.500
Tl2 Tl 0.000 0.500 0.750
In1 In 0.000 0.500 0.250



Entry 11:
# SrCdSe, optimized geometry, DFT PBE-GGA
# Total energy = -3.14 eV/atom
# Relative energy among the computed polymorphs = 0.00 eV/f.u.
# E_form (uncorrected) = -1.11 eV/atom
# Calculated volume = 34.60 Å³ per atom
data_SrCdSe
_chemical_formula_sum 'Sr6 Cd6 Se6'
_cell_length_a 5.1518
_cell_length_b 5.1518
_cell_length_c 27.0979
_cell_angle_alpha 90.00
_cell_angle_beta 90.00
_cell_angle_gamma 120.00
_symmetry_space_group_name_H-M 'R -3 m'
_symmetry_Int_Tables_number 166
_symmetry_space_group_name_Hall '-R 3 2"'
loop_
_atom_site_label
_atom_site_type_symbol
_atom_site_fract_x
_atom_site_fract_y
_atom_site_fract_z
Sr1 Sr 0.0000 0.0000 0.1034
Cd1 Cd 0.0000 0.0000 0.3242
Se1 Se 0.0000 0.0000 0.2183



Entry 12:
# Tb2DyHo, optimized geometry, DFT PBE-GGA
# Energy of formation = 0.01 eV/atom
# Total energy = -4.60 eV/atom
# Relative energy among the computed polymorphs = 0.00 eV/f.u.
# Calculated volume = 31.86 Å³ per atom
data_Tb2DyHo
_chemical_formula_sum 'Tb4 Dy2 Ho2'
_cell_length_a 5.618
_cell_length_b 7.244
_cell_length_c 6.264
_cell_angle_alpha 90.00
_cell_angle_beta 90.00
_cell_angle_gamma 90.00
_symmetry_space_group_name_H-M 'P m m n'
_symmetry_Int_Tables_number 59
loop_
_symmetry_equiv_pos_as_xyz
'x,y,z'
'-x,-y,-z'
'-x+1/2,-y+1/2,z'
'x+1/2,y+1/2,-z'
'x+1/2,-y,-z'
'-x+1/2,y,z'
'-x,y+1/2,-z'
'x,-y+1/2,z'
loop_
_atom_site_label
_atom_site_type_symbol
_atom_site_fract_x
_atom_site_fract_y
_atom_site_fract_z
Tb1 Tb 0.250 0.000 0.167
Dy1 Dy 0.250 0.250 0.666
Ho1 Ho 0.250 0.750 0.666